# 1
This record from the Open Quantum Materials Database describes crystalline HfNb3Fe at its relaxed geometry. The functional is PBE.

Geometry as CIF:
```
data_HfNb3Fe
_cell_length_a 5.902
_cell_length_b 19.586
_cell_length_c 3.745
_cell_angle_alpha 90.00
_cell_angle_beta 90.00
_cell_angle_gamma 90.00
_space_group_name_H-M_alt 'C m c m'
_space_group_IT_number 63
_space_group_name_Hall '-C 2c 2'
loop_
_atom_site_label
_atom_site_fract_x
_atom_site_fract_y
_atom_site_fract_z
Hf1 0.000 0.209 0.250
Nb1 0.000 0.349 0.250
Nb2 0.229 0.084 0.250
Fe1 0.000 0.500 0.000
```

## Properties
mass density = 7.9 g/cm3
DFT formation energy = 1.12 eV/atom
E_tot = -171.884 eV for the cell shown
M_tot = 0.00 μB per atom

=====

# 2
This record from the Open Quantum Materials Database describes crystalline SrHgSeO at its relaxed geometry. The functional is PBE.

Geometry as CIF:
```
data_SrHgSeO
_cell_length_a 7.358
_cell_length_b 7.826
_cell_length_c 7.034
_cell_angle_alpha 90.00
_cell_angle_beta 90.00
_cell_angle_gamma 90.00
_space_group_name_H-M_alt 'P c a 21'
_space_group_IT_number 29
loop_
_space_group_symop_operation_xyz
'x,y,z'
'-x,-y,z+1/2'
'-x+1/2,y,z+1/2'
'x+1/2,-y,z'
loop_
_atom_site_label
_atom_site_fract_x
_atom_site_fract_y
_atom_site_fract_z
Sr1 0.123 0.087 0.000
Hg1 0.039 0.636 0.114
Se1 0.104 0.652 0.731
O1 0.087 0.100 0.659
```

## Properties
mass density = 6.3 g/cm3
E_tot = -63.347 eV for the cell shown
E above lowest polymorph = 49 meV/atom